Entry from Alexandria via LeMat-Bulk: Li2LaNpO6 after structural relaxation (PBE-GGA).

Values from the calculation:
Space-group type ... R-3, No. 148
Formation energy from raw total energies ... -27.01 eV/f.u.

The structure in extended XYZ format:
```
10
Lattice="2.6949 1.5559 5.5191 -2.6949 1.5559 5.5191 0.0000 -3.1118 5.5191" Properties=species:S:1:pos:R:3 pbc="T T T"
Li 0.0000 0.0000 3.2392
Li 0.0000 0.0000 13.3180
La 0.0000 0.0000 0.0000
Np 0.0000 0.0000 8.2786
O -1.6827 0.0678 7.1492
O -0.9001 -1.4233 9.4080
O 0.7826 -1.4911 7.1492
O -0.7826 1.4911 9.4080
O 0.9001 1.4233 7.1492
O 1.6827 -0.0678 9.4080
```

=====

Entry from Alexandria via LeMat-Bulk: LiLa2NpO6 after structural relaxation (PBE-GGA).

Values from the calculation:
Space-group type ... P-1, No. 2
Formation energy from raw total energies ... -30.43 eV/f.u.

The structure in extended XYZ format:
```
10
Lattice="5.7243 0.0000 0.0000 -2.5491 5.3085 0.0000 -2.4160 -2.0370 5.0366" Properties=species:S:1:pos:R:3 pbc="T T T"
Li 0.0000 0.0000 0.0000
La 0.3186 3.7045 1.0208
La 0.4406 -0.4330 4.0158
Np -2.4825 1.6358 2.5183
O -3.2955 2.7318 4.1889
O -1.8998 0.2279 4.0835
O -0.8054 2.8397 2.9120
O 1.5646 0.4319 2.1245
O 2.6590 3.0437 0.9531
O 4.0547 0.5398 0.8477
```

=====

The records above give, respectively, M_tot values of 0.00, 2.00 μB/cell.